MgInMoF6 after structural relaxation. Source: Alexandria, functional GGA+U.

The calculation puts the volume at 316.7 Å³/cell. The raw total energy is -93.71 eV per cell. For the total moment, the calculation gives 0.333 μB per atom.

The space group is P-31c (No. 163) and the conventional cell measures 5.5833, 5.5833 and 11.7302 Å, with angles of 90.00, 90.00 and 120.00 degrees. The distinct sites, in fractional coordinates, are Mg at (0.3333, 0.6667, 0.2500), In at (0.0000, 0.0000, 0.0000), Mo at (0.3333, 0.6667, 0.7500) and F at (0.0103, 0.3756, 0.1574).